La2Rh, relaxed, DFT GGA-PBE; space-group type = No. 139; total magnetization = 0.000 μB per cell; ΔE_f = -0.412 eV/atom
1.0
-1.844 1.844 5.591
1.844 -1.844 5.591
1.844 1.844 -5.591
La Rh
2 1
Direct
0.150 0.150 0.000 La
0.850 0.850 0.000 La
0.500 0.500 0.000 Rh